No. 1
! LiNiCl2 | Alexandria via LeMat-Bulk | GGA-PBE | relaxed; values from VASP
! calculated volume	16.0	A^3/atom
! total magnetic moment	1.0	μB per formula unit
! total energy	-14.8	eV/f.u.
! energy above the most stable polymorph in this dataset	45	meV/atom
! formation energy (no corrections)	-849	meV/atom
&SYSTEM
  ibrav = 0, nat = 4, ntyp = 3
/
ATOMIC_SPECIES
Ni 58.69 Ni.upf
Cl 35.45 Cl.upf
Li 6.94 Li.upf
CELL_PARAMETERS angstrom
3.564 0.000 0.000
0.000 3.567 0.000
0.000 0.000 5.042
ATOMIC_POSITIONS crystal
Ni 0.500 0.500 0.878
Cl 0.500 0.500 0.375
Li 0.000 0.000 0.373
Cl 0.000 0.000 0.874



No. 2
! K2HfInGe | Alexandria via LeMat-Bulk | GGA-PBE | relaxed; values from VASP
! calculated volume	41.1	A^3/atom
! total magnetic moment	1.1	μB per formula unit
! total energy	-16.6	eV/f.u.
&SYSTEM
  ibrav = 0, nat = 5, ntyp = 4
/
ATOMIC_SPECIES
Ge 72.64 Ge.upf
In 114.82 In.upf
K 39.10 K.upf
Hf 178.49 Hf.upf
CELL_PARAMETERS angstrom
-2.724 3.462 4.505
-4.407 -2.652 -0.627
1.887 -4.161 4.339
ATOMIC_POSITIONS crystal
Ge 0.000 0.000 0.000
In 0.500 0.500 0.500
K 0.000 0.000 0.500
K 0.500 0.000 0.000
Hf 0.000 0.500 0.000



No. 3
! Li2TeAs2 | Alexandria via LeMat-Bulk | GGA-PBE | relaxed; values from VASP
! calculated volume	19.8	A^3/atom
! total magnetic moment	0.0	μB per formula unit
! total energy	-17.6	eV/f.u.
! energy above the most stable polymorph in this dataset	86	meV/atom
! formation energy (no corrections)	-271	meV/atom
&SYSTEM
  ibrav = 0, nat = 10, ntyp = 3
/
ATOMIC_SPECIES
Te 127.60 Te.upf
Li 6.94 Li.upf
As 74.92 As.upf
CELL_PARAMETERS angstrom
-5.644 -5.713 1.292
2.816 -1.074 7.555
-1.893 2.097 1.004
ATOMIC_POSITIONS crystal
Te 0.500 0.500 0.000
Li 0.880 0.380 0.500
Te 0.000 0.000 0.000
As 0.178 0.322 0.000
As 0.322 0.822 0.000
Li 0.120 0.620 0.500
As 0.822 0.678 0.000
Li 0.380 0.120 0.500
As 0.678 0.178 0.000
Li 0.620 0.880 0.500



No. 4
! Ba2TbBiSe5 | Alexandria via LeMat-Bulk | GGA-PBE | relaxed; values from VASP
! calculated volume	32.0	A^3/atom
! total magnetic moment	0.0	μB per formula unit
! total energy	-43.5	eV/f.u.
! formation energy (no corrections)	-1527	meV/atom
&SYSTEM
  ibrav = 0, nat = 18, ntyp = 4
/
ATOMIC_SPECIES
Ba 137.33 Ba.upf
Se 78.96 Se.upf
Tb 158.93 Tb.upf
Bi 208.98 Bi.upf
CELL_PARAMETERS angstrom
-3.426 -1.503 -2.381
6.131 -7.245 -0.119
-5.875 -5.165 11.714
ATOMIC_POSITIONS crystal
Ba 0.106 0.212 0.680
Se 0.632 0.264 0.495
Se 0.318 0.636 0.384
Ba 0.859 0.717 0.804
Tb 0.786 0.571 0.521
Se 0.938 0.877 0.572
Se 0.368 0.736 0.995
Se 0.682 0.364 0.884
Se 0.062 0.123 0.072
Se 0.721 0.442 0.155
Tb 0.214 0.429 0.021
Se 0.489 0.978 0.761
Ba 0.894 0.788 0.180
Bi 0.533 0.067 0.952
Ba 0.141 0.283 0.304
Se 0.279 0.558 0.655
Bi 0.467 0.933 0.452
Se 0.511 0.022 0.261



No. 5
! Nd2TlH2 | Alexandria via LeMat-Bulk | GGA-PBE | relaxed; values from VASP
! calculated volume	19.8	A^3/atom
! total magnetic moment	0.0	μB per formula unit
! total energy	-21.4	eV/f.u.
! energy above the most stable polymorph in this dataset	0	meV/atom
&SYSTEM
  ibrav = 0, nat = 5, ntyp = 3
/
ATOMIC_SPECIES
Tl 204.38 Tl.upf
H 1.01 H.upf
Nd 144.24 Nd.upf
CELL_PARAMETERS angstrom
-2.294 3.058 -1.236
1.663 -0.227 -3.650
-4.032 -5.376 0.709
ATOMIC_POSITIONS crystal
Tl 0.000 0.000 0.000
H 0.250 0.750 0.500
Nd 0.349 0.349 0.699
Nd 0.651 0.651 0.301
H 0.750 0.250 0.500



No. 6
! InRu2N | Alexandria via LeMat-Bulk | GGA-PBE | relaxed; values from VASP
! calculated volume	15.0	A^3/atom
! total magnetic moment	0.0	μB per formula unit
! total energy	-28.8	eV/f.u.
! energy above the most stable polymorph in this dataset	0	meV/atom
! formation energy (no corrections)	204	meV/atom
&SYSTEM
  ibrav = 0, nat = 8, ntyp = 3
/
ATOMIC_SPECIES
Ru 101.07 Ru.upf
In 114.82 In.upf
N 14.01 N.upf
CELL_PARAMETERS angstrom
-3.361 2.440 4.855
-5.137 -3.288 -1.904
-3.433 -2.685 3.178
ATOMIC_POSITIONS crystal
Ru 0.248 0.625 0.250
Ru 0.875 0.752 0.750
In 0.000 0.000 0.000
In 0.750 0.250 0.500
Ru 0.375 0.498 0.750
N 0.500 0.500 0.000
Ru 0.502 0.125 0.250
N 0.250 0.750 0.500



No. 7
! Er3Te2Se | Alexandria via LeMat-Bulk | GGA-PBE | relaxed; values from VASP
! calculated volume	27.0	A^3/atom
! total magnetic moment	0.0	μB per formula unit
! total energy	-31.7	eV/f.u.
! energy above the most stable polymorph in this dataset	11	meV/atom
! formation energy (no corrections)	-1369	meV/atom
&SYSTEM
  ibrav = 0, nat = 12, ntyp = 3
/
ATOMIC_SPECIES
Te 127.60 Te.upf
Se 78.96 Se.upf
Er 167.26 Er.upf
CELL_PARAMETERS angstrom
-0.278 -3.477 -4.777
2.072 -7.729 5.505
-7.187 5.475 -3.566
ATOMIC_POSITIONS crystal
Te 0.993 0.424 0.076
Se 0.493 0.249 0.249
Er 0.993 0.895 0.605
Er 0.493 0.749 0.749
Se 0.993 0.751 0.751
Er 0.993 0.251 0.251
Er 0.493 0.105 0.395
Te 0.493 0.924 0.576
Er 0.993 0.605 0.895
Er 0.493 0.395 0.105
Te 0.993 0.076 0.424
Te 0.493 0.576 0.924



No. 8
! U2PtSe4Br | Alexandria via LeMat-Bulk | GGA-PBE | relaxed; values from VASP
! calculated volume	27.1	A^3/atom
! total magnetic moment	3.0	μB per formula unit
! total energy	-50.3	eV/f.u.
! formation energy (no corrections)	-763	meV/atom
&SYSTEM
  ibrav = 0, nat = 8, ntyp = 4
/
ATOMIC_SPECIES
Se 78.96 Se.upf
Br 79.90 Br.upf
U 238.03 U.upf
Pt 195.08 Pt.upf
CELL_PARAMETERS angstrom
3.871 0.000 0.000
1.935 6.553 -0.353
1.935 0.680 8.523
ATOMIC_POSITIONS crystal
Se 0.177 0.927 0.719
Br 0.500 0.500 0.500
Se 0.609 0.667 0.115
U 0.215 0.365 0.205
Se 0.391 0.333 0.885
Pt 0.000 0.000 0.000
Se 0.823 0.073 0.281
U 0.785 0.635 0.795



No. 9
! Li2Ge3O8 | Alexandria via LeMat-Bulk | GGA-PBE | relaxed; values from VASP
! calculated volume	11.0	A^3/atom
! total magnetic moment	2.0	μB per formula unit
! total energy	-76.4	eV/f.u.
! formation energy (no corrections)	-1465	meV/atom
&SYSTEM
  ibrav = 0, nat = 13, ntyp = 3
/
ATOMIC_SPECIES
Ge 72.64 Ge.upf
O 16.00 O.upf
Li 6.94 Li.upf
CELL_PARAMETERS angstrom
-4.815 -1.338 -0.558
1.169 -5.132 2.213
-0.502 4.602 3.573
ATOMIC_POSITIONS crystal
Ge 0.000 0.254 0.000
Ge 0.500 0.000 0.000
O 0.366 0.882 0.215
Li 0.401 0.295 0.590
O 0.114 0.402 0.803
O 0.126 0.899 0.798
O 0.886 0.598 0.197
O 0.634 0.667 0.785
Li 0.599 0.705 0.410
Ge 0.000 0.746 0.000
O 0.634 0.118 0.785
O 0.366 0.333 0.215
O 0.874 0.101 0.202



No. 10
! Sr6Ge5N2 | Alexandria via LeMat-Bulk | GGA-PBE | relaxed; values from VASP
! calculated volume	25.9	A^3/atom
! total magnetic moment	0.0	μB per formula unit
! total energy	-58.4	eV/f.u.
! formation energy (no corrections)	-656	meV/atom
&SYSTEM
  ibrav = 0, nat = 26, ntyp = 3
/
ATOMIC_SPECIES
Sr 87.62 Sr.upf
Ge 72.64 Ge.upf
N 14.01 N.upf
CELL_PARAMETERS angstrom
-1.100 -3.876 -0.476
5.229 -0.562 -7.506
14.027 -5.231 10.164
ATOMIC_POSITIONS crystal
Sr 0.000 0.463 0.640
Ge 0.500 0.146 0.130
Sr 0.000 0.241 0.000
Sr 0.500 0.114 0.316
Ge 0.500 0.421 0.500
N 0.500 0.293 0.417
Sr 0.000 0.886 0.184
Ge 0.500 0.736 0.695
Sr 0.000 0.463 0.360
N 0.000 0.707 0.917
Ge 0.000 0.854 0.630
Ge 0.500 0.146 0.870
Sr 0.500 0.537 0.140
Sr 0.000 0.163 0.500
N 0.500 0.293 0.583
Sr 0.500 0.537 0.860
Sr 0.500 0.837 0.000
Ge 0.000 0.579 0.000
Ge 0.000 0.264 0.195
Ge 0.000 0.854 0.370
Sr 0.000 0.886 0.816
Ge 0.500 0.736 0.305
Sr 0.500 0.759 0.500
N 0.000 0.707 0.083
Sr 0.500 0.114 0.684
Ge 0.000 0.264 0.805



No. 11
! HfPHS2 | Alexandria via LeMat-Bulk | GGA-PBE | relaxed; values from VASP
! calculated volume	25.0	A^3/atom
! total magnetic moment	2.3	μB per formula unit
! total energy	-25.4	eV/f.u.
! energy above the most stable polymorph in this dataset	280	meV/atom
&SYSTEM
  ibrav = 0, nat = 5, ntyp = 4
/
ATOMIC_SPECIES
Hf 178.49 Hf.upf
S 32.06 S.upf
P 30.97 P.upf
H 1.01 H.upf
CELL_PARAMETERS angstrom
4.935 0.000 0.000
0.000 4.935 0.000
0.000 0.000 5.138
ATOMIC_POSITIONS crystal
Hf 0.000 0.000 0.000
S 0.000 0.500 0.000
P 0.000 0.000 0.500
S 0.500 0.000 0.000
H 0.500 0.500 0.500



No. 12
! MoIr3Pd | Alexandria via LeMat-Bulk | GGA-PBE | relaxed; values from VASP
! calculated volume	16.9	A^3/atom
! total magnetic moment	0.0	μB per formula unit
! total energy	-41.8	eV/f.u.
! energy above the most stable polymorph in this dataset	0	meV/atom
&SYSTEM
  ibrav = 0, nat = 10, ntyp = 3
/
ATOMIC_SPECIES
Ir 192.22 Ir.upf
Mo 95.94 Mo.upf
Pd 106.42 Pd.upf
CELL_PARAMETERS angstrom
5.166 0.000 1.664
2.315 4.618 1.664
0.503 0.310 7.291
ATOMIC_POSITIONS crystal
Ir 0.894 0.382 0.342
Ir 0.618 0.106 0.658
Ir 0.618 0.618 0.658
Mo 0.109 0.109 0.673
Pd 0.333 0.333 0.002
Pd 0.667 0.667 0.998
Ir 0.106 0.618 0.658
Ir 0.382 0.894 0.342
Mo 0.891 0.891 0.327
Ir 0.382 0.382 0.342



No. 13
! La2Tb3Er | Alexandria via LeMat-Bulk | GGA-PBE | relaxed; values from VASP
! calculated volume	33.7	A^3/atom
! total magnetic moment	0.0	μB per formula unit
! total energy	-27.2	eV/f.u.
! energy above the most stable polymorph in this dataset	109	meV/atom
&SYSTEM
  ibrav = 0, nat = 12, ntyp = 3
/
ATOMIC_SPECIES
Tb 158.93 Tb.upf
Er 167.26 Er.upf
La 138.91 La.upf
CELL_PARAMETERS angstrom
5.417 1.201 3.835
3.961 8.815 3.457
1.176 -0.138 10.195
ATOMIC_POSITIONS crystal
Tb 0.835 0.333 0.334
Er 0.000 0.000 0.000
Tb 0.665 0.666 0.667
Er 0.500 0.000 0.000
La 0.590 0.591 0.071
La 0.910 0.929 0.409
La 0.090 0.071 0.591
Tb 0.335 0.334 0.333
Tb 0.165 0.667 0.666
Tb 0.750 0.734 0.266
Tb 0.250 0.266 0.734
La 0.410 0.409 0.929



No. 14
! BaIn2Os | Alexandria via LeMat-Bulk | GGA-PBE | relaxed; values from VASP
! calculated volume	24.6	A^3/atom
! total magnetic moment	0.0	μB per formula unit
! total energy	-17.9	eV/f.u.
&SYSTEM
  ibrav = 0, nat = 4, ntyp = 3
/
ATOMIC_SPECIES
In 114.82 In.upf
Os 190.23 Os.upf
Ba 137.33 Ba.upf
CELL_PARAMETERS angstrom
-0.777 -1.358 -3.053
-1.739 -2.512 1.560
-6.961 4.639 -0.291
ATOMIC_POSITIONS crystal
In 0.000 0.000 0.431
Os 0.500 0.500 0.250
Ba 0.500 0.500 0.750
In 0.000 0.000 0.069



No. 15
! LaOs2Rh | Alexandria via LeMat-Bulk | GGA-PBE | relaxed; values from VASP
! calculated volume	21.1	A^3/atom
! total magnetic moment	0.0	μB per formula unit
! total energy	-33.1	eV/f.u.
! energy above the most stable polymorph in this dataset	236	meV/atom
&SYSTEM
  ibrav = 0, nat = 8, ntyp = 3
/
ATOMIC_SPECIES
Rh 102.91 Rh.upf
Os 190.23 Os.upf
La 138.91 La.upf
CELL_PARAMETERS angstrom
4.127 0.000 0.000
0.000 4.127 0.000
2.064 2.064 9.931
ATOMIC_POSITIONS crystal
Rh 0.250 0.750 0.500
Os 0.375 0.486 0.750
Os 0.514 0.125 0.250
Os 0.236 0.625 0.250
Os 0.875 0.764 0.750
La 0.750 0.250 0.500
La 0.000 0.000 0.000
Rh 0.500 0.500 0.000



No. 16
! Cr2ReCl | Alexandria via LeMat-Bulk | GGA-PBE | relaxed; values from VASP
! calculated volume	14.1	A^3/atom
! total magnetic moment	0.2	μB per formula unit
! total energy	-31.1	eV/f.u.
! energy above the most stable polymorph in this dataset	433	meV/atom
! formation energy (no corrections)	600	meV/atom
&SYSTEM
  ibrav = 0, nat = 4, ntyp = 3
/
ATOMIC_SPECIES
Cr 52.00 Cr.upf
Re 186.21 Re.upf
Cl 35.45 Cl.upf
CELL_PARAMETERS angstrom
-0.248 4.736 -0.790
-1.187 4.276 1.851
4.055 0.317 1.497
ATOMIC_POSITIONS crystal
Cr 0.261 0.261 0.228
Re 0.535 0.535 0.445
Cr 0.969 0.969 0.995
Cl 0.736 0.736 0.832



No. 17
! HfSiHgW2 | Alexandria via LeMat-Bulk | GGA-PBE | relaxed; values from VASP
! calculated volume	20.0	A^3/atom
! total magnetic moment	0.0	μB per formula unit
! total energy	-36.8	eV/f.u.
! formation energy (no corrections)	949	meV/atom
&SYSTEM
  ibrav = 0, nat = 5, ntyp = 4
/
ATOMIC_SPECIES
Hg 200.59 Hg.upf
W 183.84 W.upf
Si 28.09 Si.upf
Hf 178.49 Hf.upf
CELL_PARAMETERS angstrom
-4.165 -1.563 0.865
1.781 -4.525 0.403
0.673 0.660 4.433
ATOMIC_POSITIONS crystal
Hg 0.500 0.500 0.500
W 0.000 0.000 0.500
Si 0.000 0.000 0.000
Hf 0.000 0.500 0.000
W 0.500 0.000 0.000



No. 18
! PmNd2Sm | Alexandria via LeMat-Bulk | GGA-PBE | relaxed; values from VASP
! calculated volume	34.8	A^3/atom
! total magnetic moment	0.0	μB per formula unit
! total energy	-18.9	eV/f.u.
! energy above the most stable polymorph in this dataset	3	meV/atom
&SYSTEM
  ibrav = 0, nat = 4, ntyp = 3
/
ATOMIC_SPECIES
Nd 144.24 Nd.upf
Sm 150.36 Sm.upf
Pm 145.00 Pm.upf
CELL_PARAMETERS angstrom
-4.499 2.535 0.369
-2.540 -4.318 -1.305
3.187 -0.426 5.477
ATOMIC_POSITIONS crystal
Nd 0.000 0.000 0.000
Sm 0.500 0.500 0.000
Nd 0.750 0.250 0.500
Pm 0.250 0.750 0.500



No. 19
! Sm2PaP3Rh12 | Alexandria via LeMat-Bulk | GGA-PBE | relaxed; values from VASP
! calculated volume	17.9	A^3/atom
! total magnetic moment	0.0	μB per formula unit
! total energy	-130.6	eV/f.u.
&SYSTEM
  ibrav = 0, nat = 18, ntyp = 4
/
ATOMIC_SPECIES
Rh 102.91 Rh.upf
P 30.97 P.upf
Pa 231.04 Pa.upf
Sm 150.36 Sm.upf
CELL_PARAMETERS angstrom
7.079 -0.761 -0.540
2.834 6.531 -0.540
2.834 1.650 6.342
ATOMIC_POSITIONS crystal
Rh 0.332 0.332 0.909
P 0.000 0.500 0.000
Rh 0.848 0.848 0.376
Pa 0.000 0.000 0.000
Rh 0.152 0.152 0.624
Rh 0.668 0.668 0.091
Rh 0.332 0.909 0.332
Rh 0.668 0.091 0.668
Rh 0.848 0.376 0.848
P 0.000 0.000 0.500
Rh 0.376 0.848 0.848
P 0.500 0.000 0.000
Rh 0.091 0.668 0.668
Rh 0.909 0.332 0.332
Sm 0.601 0.601 0.601
Rh 0.152 0.624 0.152
Rh 0.624 0.152 0.152
Sm 0.399 0.399 0.399



No. 20
! SiN | Alexandria via LeMat-Bulk | GGA-PBE | relaxed; values from VASP
! calculated volume	10.7	A^3/atom
! total magnetic moment	0.0	μB per formula unit
! total energy	-14.2	eV/f.u.
! energy above the most stable polymorph in this dataset	536	meV/atom
! formation energy (no corrections)	-215	meV/atom
&SYSTEM
  ibrav = 0, nat = 16, ntyp = 2
/
ATOMIC_SPECIES
N 14.01 N.upf
Si 28.09 Si.upf
CELL_PARAMETERS angstrom
-7.109 2.751 0.400
-0.897 -1.229 -7.480
-1.013 -2.700 0.565
ATOMIC_POSITIONS crystal
N 0.138 0.675 0.500
Si 0.254 0.593 0.000
N 0.638 0.175 0.000
N 0.175 0.362 0.000
Si 0.593 0.746 0.000
Si 0.246 0.907 0.500
Si 0.746 0.407 0.000
N 0.825 0.638 0.000
N 0.675 0.862 0.500
Si 0.407 0.254 0.000
N 0.325 0.138 0.500
N 0.862 0.325 0.500
Si 0.907 0.754 0.500
N 0.362 0.825 0.000
Si 0.093 0.246 0.500
Si 0.754 0.093 0.500